Entry from Alexandria: a geometry-optimized HfZrOF2 structure (GGA-PBEsol).

Cell and atoms, written as CIF:
```
data_HfZrOF2
_chemical_formula_sum 'Hf1 Zr1 O1 F2'
_space_group_name_H-M_alt 'P 4/m m m'
_space_group_IT_number 123
_space_group_name_Hall '-P 4 2'
_cell_length_a 4.646
_cell_length_b 4.646
_cell_length_c 3.750
_cell_angle_alpha 90.00
_cell_angle_beta 90.00
_cell_angle_gamma 90.00
loop_
_atom_site_label
_atom_site_fract_x
_atom_site_fract_y
_atom_site_fract_z
Hf1 0.000 0.000 0.000
Zr1 0.500 0.500 0.000
O1 0.000 0.000 0.500
F1 0.000 0.500 0.500
```

---

# TlTc3 | Alexandria | GGA-PBEsol | optimized geometry
data_TlTc3
_chemical_formula_sum 'Tl1 Tc3'
_space_group_name_H-M_alt 'P m -3 m'
_space_group_IT_number 221
_space_group_name_Hall '-P 4 2 3'
_cell_length_a 5.170
_cell_length_b 5.170
_cell_length_c 5.170
_cell_angle_alpha 90.00
_cell_angle_beta 90.00
_cell_angle_gamma 90.00
loop_
_atom_site_label
_atom_site_fract_x
_atom_site_fract_y
_atom_site_fract_z
Tl1 0.000 0.000 0.000
Tc1 0.000 0.000 0.500
# excess energy over the best structure of this formula in the dataset: 13.592 eV/f.u.
# energy relative to the elements: 3.837 eV/atom

---

Entry from Alexandria: a geometry-optimized SrCaCrN2 structure (GGA-PBEsol).

Cell and atoms, written as CIF:
```
data_SrCaCrN2
_chemical_formula_sum 'Sr1 Ca1 Cr1 N2'
_space_group_name_H-M_alt 'P 4/m m m'
_space_group_IT_number 123
_space_group_name_Hall '-P 4 2'
_cell_length_a 4.500
_cell_length_b 4.500
_cell_length_c 5.216
_cell_angle_alpha 90.00
_cell_angle_beta 90.00
_cell_angle_gamma 90.00
loop_
_atom_site_label
_atom_site_fract_x
_atom_site_fract_y
_atom_site_fract_z
Sr1 0.000 0.000 0.000
Ca1 0.000 0.000 0.500
Cr1 0.500 0.500 0.000
N1 0.000 0.500 0.500
```

---

# Sc2ZnFe | Alexandria | GGA-PBEsol | optimized geometry
data_Sc2ZnFe
_chemical_formula_sum 'Sc8 Zn4 Fe4'
_space_group_name_H-M_alt 'F -4 3 m'
_space_group_IT_number 216
_space_group_name_Hall 'F -4 2 3'
_cell_length_a 6.321
_cell_length_b 6.321
_cell_length_c 6.321
_cell_angle_alpha 90.00
_cell_angle_beta 90.00
_cell_angle_gamma 90.00
loop_
_atom_site_label
_atom_site_fract_x
_atom_site_fract_y
_atom_site_fract_z
Sc1 0.000 0.000 0.000
Sc2 0.250 0.250 0.250
Zn1 0.000 0.000 0.500
Fe1 0.250 0.250 0.750
# energy relative to the elements: 0.014 eV/atom

---

These records have size of the total moment values of 0.0; 9.8; 3.6; 1.5 μB/f.u., in the order they appear.
These records have calculated volume values of 16.2; 34.5; 21.1; 15.8 A^3/atom, in the order they appear.
These records have E values of -6.84; -5.27; -4.57; -5.93 eV/atom, in the order they appear.